Below is an optimized crystal structure of SiNi, with properties calculated at the GGA-PBE level.

Unit cell a=6.853 b=6.853 c=6.853 alpha=90.00 beta=90.00 gamma=90.00
Atoms (fractional coordinates):
1 Si 0.190 0.190 0.190
2 Si 0.690 0.690 0.690
3 Ni 0.871 0.871 0.871
4 Si 0.190 0.810 0.810
5 Ni 0.371 0.629 0.629
6 Ni 0.129 0.871 0.129
7 Si 0.310 0.690 0.310
8 Si 0.810 0.810 0.190
9 Ni 0.629 0.629 0.371
10 Ni 0.129 0.129 0.871
11 Si 0.690 0.310 0.310
12 Si 0.810 0.190 0.810
13 Ni 0.629 0.371 0.629
14 Si 0.310 0.310 0.690
15 Ni 0.371 0.371 0.371
16 Ni 0.871 0.129 0.129

Computed properties:
Its space group is I-43m. The value obtained for the raw formation energy is 0.2 eV/f.u.